{
  "formula": "PmTaVO6",
  "functional": "PBE with a Hubbard U",
  "state": "optimized geometry",
  "lattice_angstrom": [[-0.3977, -2.3797, -4.2433], [4.8284, 0.3286, -0.6368], [1.1830, -8.4323, 4.6181]],
  "species": ["O", "O", "O", "O", "O", "O", "O", "O", "O", "O", "O", "O", "Pm", "Pm", "Ta", "Ta", "V", "V"],
  "frac_coords": [[0.7843, 0.2157, 0.8113], [0.7157, 0.7157, 0.3113], [0.3278, 0.3278, 0.0018], [0.2157, 0.7843, 0.8113], [0.1722, 0.8278, 0.5018], [0.2788, 0.2788, 0.6916], [0.6722, 0.6722, 0.0018], [0.2843, 0.2843, 0.3113], [0.7212, 0.7212, 0.6916], [0.2212, 0.7788, 0.1916], [0.8278, 0.1722, 0.5018], [0.7788, 0.2212, 0.1916], [0.5000, 0.5000, 0.4936], [0.0000, 0.0000, 0.9936], [0.5000, 0.5000, 0.8334], [0.0000, 0.0000, 0.3334], [0.5000, 0.5000, 0.1638], [0.0000, 0.0000, 0.6638]],
  "energy_ev_per_cell": -155.9,
  "spacegroup": "No. 102",
  "vol_a3_per_atom": 12.8
}